DFT (PBE) results for a relaxed structure of InCoIr.

Summary:
DFT formation energy = 0.13 eV per atom
magnetic moment = 1.8 μB/cell
density of states at the Fermi level = 3.4 states/eV/cell
volume = 45.9 Å³/f.u.
space-group type = I4mm
relative energy among the computed polymorphs = 0 meV per atom
E_tot = -18.33 eV/cell

Cell lengths 5.8355, 5.8355, 2.8983 Å; angles 75.62, 75.62, 28.76 degrees
Last column: magnetic moment on the atom in μB.
Element x y z (fractional)
In 0.3375 0.3375 0.6625  -0.04
Ir 0.6514 0.6514 0.3486  0.43
Co 0.0111 0.0111 0.9889  1.42